DFT (GGA-PBE) results for PmPrAs2Pt2 after structural relaxation.

* DFT formation energy: -1236 meV/atom

a b c (Å): 4.339 4.339 8.112
angles (deg): 90.00 90.00 120.00
Fractional positions:
Pm 0.000 0.000 0.000
Pr 0.000 0.000 0.500
As 0.333 0.667 0.745
As 0.667 0.333 0.255
Pt 0.333 0.667 0.239
Pt 0.667 0.333 0.761